## SiP2Br (PBE)

Data for crystalline SiP2Br at its relaxed geometry.

Lattice parameters (Å, degrees): 3.2976 4.4556 6.9857 81.68 90.00 90.00
Last column: nearest neighbours and their distance in Å.
Positions (direct):
Br 0.5000 0.6811 0.6630  2 Si 2.50
P 0.0000 0.9809 0.1699  2 P 2.24, 1 Si 2.35
P 0.5000 0.2778 0.2511  2 P 2.24, 2 Si 2.46
Si 0.0000 0.5602 0.4160  3 P 2.35-2.46, 2 Br 2.50

Computed properties:
SG: Pm
E above lowest polymorph, meV/atom: 31